Entry 1:
The following is a DFT calculation (PBE) of an optimized crystal structure of PmGeRuF.

The formation energy without anion corrections comes out at -1.738 eV/atom. As for the crystal system: tetragonal. As for the total DFT energy (no corrections): -6.87 eV/atom. Its space group is P4/nmm, No. 129. The density of states at the Fermi level comes out at 0.50 states/eV per atom.

Unit cell a=4.2316 b=4.2316 c=7.8070 alpha=90.00 beta=90.00 gamma=90.00
Fractional coordinates of all 8 atoms:
1 Pm 0.5000 0.0000 0.6858
2 Pm 0.0000 0.5000 0.3142
3 Ge 0.0000 0.5000 0.8403
4 Ge 0.5000 0.0000 0.1597
5 Ru 0.5000 0.5000 0.0000
6 Ru 0.0000 0.0000 0.0000
7 F 0.0000 0.0000 0.5000
8 F 0.5000 0.5000 0.5000

Entry 2:
The following is a DFT calculation (PBE) of an optimized crystal structure of Li2GaPb2.

As for the crystal system: tetragonal. Its formation energy from the elements is 0.035 eV per atom. As for the total DFT energy (no corrections): -2.82 eV/atom. Its space group is I4/mmm, No. 139. The energy above the most stable polymorph in this dataset comes out at 0.91 eV per formula unit. The density of states at the Fermi level comes out at 0.36 states/eV per atom.

Unit cell a=4.2107 b=4.2107 c=7.4498 alpha=73.58 beta=73.58 gamma=90.00
Fractional coordinates of all 5 atoms:
1 Pb 0.3932 0.3932 0.2137
2 Pb 0.6068 0.6068 0.7863
3 Ga 0.0000 0.0000 0.0000
4 Li 0.7500 0.2500 0.5000
5 Li 0.2500 0.7500 0.5000

Entry 3:
The following is a DFT calculation (PBE) of an optimized crystal structure of K2LaPt.

As for the crystal system: tetragonal. Its formation energy from the elements is -0.322 eV per atom. As for the total DFT energy (no corrections): -3.61 eV/atom. Its space group is P4mm, No. 99. The energy above the most stable polymorph in this dataset comes out at 0.24 eV per formula unit. The density of states at the Fermi level comes out at 1.32 states/eV per atom.

Unit cell a=3.8830 b=3.8830 c=11.1589 alpha=90.00 beta=90.00 gamma=90.04
Fractional coordinates of all 4 atoms:
1 K 0.0000 0.0000 0.9224
2 K 0.5000 0.5000 0.2803
3 La 0.0000 0.0000 0.5993
4 Pt 0.5000 0.5000 0.6980

Entry 4:
The following is a DFT calculation (PBE) of an optimized crystal structure of RbY2CoAg.

As for the crystal system: tetragonal. Its formation energy from the elements is 1.043 eV per atom. As for the total DFT energy (no corrections): -3.73 eV/atom. Its space group is P4/mmm, No. 123. The density of states at the Fermi level comes out at 1.29 states/eV per atom.

Unit cell a=5.5831 b=6.1345 c=5.5831 alpha=90.00 beta=90.00 gamma=90.00
Fractional coordinates of all 5 atoms:
1 Y 0.0000 0.0000 0.5000
2 Y 0.5000 0.0000 0.0000
3 Co 0.5000 0.5000 0.5000
4 Rb 0.0000 0.5000 0.0000
5 Ag 0.0000 0.0000 0.0000